The following is a DFT calculation (PBE-GGA) of La3Pm2PrSm6 after structural relaxation.

Output
The calculation puts the density of states at the Fermi level at 18.8 states/eV/cell. The formation energy comes out at 0.3 kcal/mol of atoms.

Geometry as CIF:
```
data_La3Pm2PrSm6
_chemical_formula_sum 'La3 Pm2 Pr1 Sm6'
_symmetry_space_group_name_H-M 'P 1'
_symmetry_Int_Tables_number 1
_symmetry_space_group_name_Hall 'P 1'
_cell_length_a 6.3712
_cell_length_b 6.3712
_cell_length_c 12.1183
_cell_angle_alpha 95.05
_cell_angle_beta 95.05
_cell_angle_gamma 120.05
loop_
_atom_site_label
_atom_site_type_symbol
_atom_site_fract_x
_atom_site_fract_y
_atom_site_fract_z
_atom_site_occupancy
La1 La 0.0000 0.0000 0.0000 1
La2 La 0.3330 0.6670 0.0000 1
La3 La 0.6670 0.3330 0.0000 1
Pm1 Pm 0.1667 0.8333 0.5000 1
Pm2 Pm 0.8333 0.1667 0.5000 1
Pr1 Pr 0.5000 0.5000 0.5000 1
Sm1 Sm 0.0838 0.4176 0.2523 1
Sm2 Sm 0.2488 0.2488 0.7478 1
Sm3 Sm 0.4176 0.0838 0.2523 1
Sm4 Sm 0.5824 0.9162 0.7477 1
Sm5 Sm 0.7512 0.7512 0.2522 1
Sm6 Sm 0.9162 0.5824 0.7477 1
```